No. 1
VASP calculation (PBE) on a relaxed RbHoMgS3 crystal.

Cell: 4.111 8.983 9.908 Å, 108.96 90.00 90.00°
Fractional positions:
1 S 0.750 0.470 0.149
2 S 0.750 0.196 0.548
3 S 0.750 0.875 0.138
4 S 0.250 0.530 0.851
5 S 0.250 0.804 0.452
6 S 0.250 0.125 0.862
7 Rb 0.750 0.789 0.772
8 Rb 0.250 0.211 0.228
9 Mg 0.250 0.085 0.611
10 Mg 0.750 0.915 0.389
11 Ho 0.750 0.334 0.867
12 Ho 0.250 0.666 0.133

Computed properties:
Total DFT energy (no corrections), Ry per atom: -0.36203
Formation energy from raw total energies, eV per atom: -1.672


No. 2
VASP calculation (PBE) on a relaxed HoMgRe4 crystal.

Cell: 5.330 5.330 5.330 Å, 60.00 60.00 60.00°
Fractional positions:
1 Re 0.625 0.625 0.124
2 Re 0.625 0.625 0.625
3 Re 0.625 0.124 0.625
4 Re 0.124 0.625 0.625
5 Mg 0.000 0.000 0.000
6 Ho 0.250 0.250 0.250

Computed properties:
Calculated formation energy, meV per atom: -25
Total DFT energy (no corrections), Ry per atom: -0.68741